# 1
A plane-wave DFT calculation with PBE was carried out for crystalline Cr2HgSb at its relaxed geometry.

Computed properties:
Energy relative to the elements, uncorrected, eV per atom: 0.729
Excess energy over the best structure of this formula in the dataset, meV/atom: 440
Symmetry: No. 216

The structure in CIF format:
```
data_Cr2HgSb
_symmetry_space_group_name_H-M 'P 1'
_symmetry_Int_Tables_number 1
_cell_length_a 4.9219
_cell_length_b 4.9219
_cell_length_c 4.9219
_cell_angle_alpha 60.00
_cell_angle_beta 60.00
_cell_angle_gamma 60.00
loop_
_symmetry_equiv_pos_as_xyz
'x,y,z'
loop_
_atom_site_label
_atom_site_type_symbol
_atom_site_fract_x
_atom_site_fract_y
_atom_site_fract_z
Cr1 Cr 0.0000 0.0000 0.0000
Cr2 Cr 0.2500 0.2500 0.2500
Hg1 Hg 0.5000 0.5000 0.5000
Sb1 Sb 0.7500 0.7500 0.7500
```

***

# 2
A plane-wave DFT calculation with PBE was carried out for crystalline Rb2BaY at its relaxed geometry.

Computed properties:
Formation energy from the elements, eV/atom: 0.603
Excess energy over the best structure of this formula in the dataset, meV/atom: 0
Symmetry: No. 225

The structure in CIF format:
```
data_Rb2BaY
_symmetry_space_group_name_H-M 'P 1'
_symmetry_Int_Tables_number 1
_cell_length_a 6.9183
_cell_length_b 6.9183
_cell_length_c 6.9183
_cell_angle_alpha 60.00
_cell_angle_beta 60.00
_cell_angle_gamma 60.00
loop_
_symmetry_equiv_pos_as_xyz
'x,y,z'
loop_
_atom_site_label
_atom_site_type_symbol
_atom_site_fract_x
_atom_site_fract_y
_atom_site_fract_z
Y1 Y 0.0000 0.0000 0.0000
Ba1 Ba 0.5000 0.5000 0.5000
Rb1 Rb 0.2500 0.2500 0.2500
Rb2 Rb 0.7500 0.7500 0.7500
```

***

# 3
A plane-wave DFT calculation with PBE was carried out for crystalline VCo3H at its relaxed geometry.

Computed properties:
Excess energy over the best structure of this formula in the dataset, meV/atom: 71
Symmetry: No. 14

The structure in CIF format:
```
data_VCo3H
_symmetry_space_group_name_H-M 'P 1'
_symmetry_Int_Tables_number 1
_cell_length_a 21.4437
_cell_length_b 4.4203
_cell_length_c 8.2507
_cell_angle_alpha 90.00
_cell_angle_beta 166.19
_cell_angle_gamma 90.00
loop_
_symmetry_equiv_pos_as_xyz
'x,y,z'
loop_
_atom_site_label
_atom_site_type_symbol
_atom_site_fract_x
_atom_site_fract_y
_atom_site_fract_z
H1 H 0.6057 0.7355 0.7679
H2 H 0.3943 0.2645 0.2321
H3 H 0.8943 0.2355 0.7321
H4 H 0.1057 0.7645 0.2679
Co1 Co 0.3758 0.9229 0.0604
Co2 Co 0.6242 0.0771 0.9396
Co3 Co 0.1242 0.4229 0.4396
Co4 Co 0.8758 0.5771 0.5604
Co5 Co 0.3659 0.5901 0.2977
Co6 Co 0.6341 0.4099 0.7023
Co7 Co 0.1341 0.0901 0.2023
Co8 Co 0.8659 0.9099 0.7977
Co9 Co 0.3724 0.9144 0.5574
Co10 Co 0.6276 0.0856 0.4426
Co11 Co 0.1276 0.4144 0.9426
Co12 Co 0.8724 0.5856 0.0574
V1 V 0.1180 0.0900 0.6668
V2 V 0.8820 0.9100 0.3332
V3 V 0.3820 0.5900 0.8332
V4 V 0.6180 0.4100 0.1668
```

***

# 4
A plane-wave DFT calculation with PBE was carried out for crystalline CoMoIr2 at its relaxed geometry.

Computed properties:
Formation energy from the elements, eV/atom: 0.167
Excess energy over the best structure of this formula in the dataset, meV/atom: 352
Symmetry: No. 99

The structure in CIF format:
```
data_CoMoIr2
_symmetry_space_group_name_H-M 'P 1'
_symmetry_Int_Tables_number 1
_cell_length_a 3.2364
_cell_length_b 3.2364
_cell_length_c 5.4144
_cell_angle_alpha 90.00
_cell_angle_beta 90.00
_cell_angle_gamma 90.00
loop_
_symmetry_equiv_pos_as_xyz
'x,y,z'
loop_
_atom_site_label
_atom_site_type_symbol
_atom_site_fract_x
_atom_site_fract_y
_atom_site_fract_z
Co1 Co 0.5000 0.5000 0.7570
Ir1 Ir 0.0000 0.0000 0.9741
Ir2 Ir 0.5000 0.5000 0.2544
Mo1 Mo 0.0000 0.0000 0.5145
```

***

# 5
A plane-wave DFT calculation with PBE was carried out for crystalline Tb2Co5Si2Ge at its relaxed geometry.

Computed properties:
Energy relative to the elements, uncorrected, eV per atom: -0.403
Symmetry: No. 127

The structure in CIF format:
```
data_Tb2Co5Si2Ge
_symmetry_space_group_name_H-M 'P 1'
_symmetry_Int_Tables_number 1
_cell_length_a 3.2919
_cell_length_b 9.3795
_cell_length_c 9.3795
_cell_angle_alpha 90.00
_cell_angle_beta 90.00
_cell_angle_gamma 90.00
loop_
_symmetry_equiv_pos_as_xyz
'x,y,z'
loop_
_atom_site_label
_atom_site_type_symbol
_atom_site_fract_x
_atom_site_fract_y
_atom_site_fract_z
Tb1 Tb 0.0000 0.6782 0.1782
Tb2 Tb 0.0000 0.3218 0.8218
Tb3 Tb 0.0000 0.1782 0.3218
Tb4 Tb 0.0000 0.8218 0.6782
Co1 Co 0.5000 0.2154 0.0644
Co2 Co 0.5000 0.7846 0.9356
Co3 Co 0.5000 0.0644 0.7846
Co4 Co 0.5000 0.7154 0.4356
Co5 Co 0.5000 0.9356 0.2154
Co6 Co 0.5000 0.2846 0.5644
Co7 Co 0.5000 0.5644 0.7154
Co8 Co 0.5000 0.4356 0.2846
Co9 Co 0.5000 0.5000 0.0000
Co10 Co 0.5000 0.0000 0.5000
Si1 Si 0.0000 0.1185 0.6185
Si2 Si 0.0000 0.8815 0.3815
Si3 Si 0.0000 0.6185 0.8815
Si4 Si 0.0000 0.3815 0.1185
Ge1 Ge 0.0000 0.0000 0.0000
Ge2 Ge 0.0000 0.5000 0.5000
```

***

# 6
A plane-wave DFT calculation with PBE was carried out for crystalline Dy4Er5Pu at its relaxed geometry.

Computed properties:
Formation energy from the elements, eV/atom: 0.274
Excess energy over the best structure of this formula in the dataset, meV/atom: 7
Symmetry: No. 12

The structure in CIF format:
```
data_Dy4Er5Pu
_symmetry_space_group_name_H-M 'P 1'
_symmetry_Int_Tables_number 1
_cell_length_a 4.9118
_cell_length_b 8.5515
_cell_length_c 9.1704
_cell_angle_alpha 63.10
_cell_angle_beta 105.53
_cell_angle_gamma 90.00
loop_
_symmetry_equiv_pos_as_xyz
'x,y,z'
loop_
_atom_site_label
_atom_site_type_symbol
_atom_site_fract_x
_atom_site_fract_y
_atom_site_fract_z
Dy1 Dy 0.6756 0.0714 0.3512
Dy2 Dy 0.0278 0.2170 0.0556
Dy3 Dy 0.3244 0.9286 0.6488
Dy4 Dy 0.9722 0.7830 0.9444
Er1 Er 0.1679 0.3790 0.3358
Er2 Er 0.1675 0.7837 0.3350
Er3 Er 0.8325 0.2163 0.6650
Er4 Er 0.5000 0.5000 0.0000
Er5 Er 0.8321 0.6210 0.6642
Pu1 Pu 0.5000 0.0000 0.0000
```